1.
VASP calculation (PBE) on crystalline TaMoBr2 at its relaxed geometry.

a b c (Å): 3.092 3.092 9.030
angles (deg): 90.00 90.00 90.00
Space group P4mm (No. 99)
Symmetry-distinct sites (fractional):
Ta 0.000 0.000 0.000
Mo 0.500 0.500 0.780
Br 0.000 0.000 0.599
Br 0.500 0.500 0.196

Output
The calculation puts the excess energy over the best structure of this formula in the dataset at 0.225 eV/atom. Its density of states at the Fermi level is 0.848 states/eV per atom. The volume is 86 Å³/f.u. As for the calculated density: 8.40 g/cm³. The calculation puts the uncorrected formation energy at 0.097 eV per atom.

2.
VASP calculation (PBE) on crystalline TaMoBr2 at its relaxed geometry.

a b c (Å): 3.1311 3.1311 27.2855
angles (deg): 90.00 90.00 120.00
Space group R-3m (No. 166, hexagonal axes)
Symmetry-distinct sites (fractional):
Ta 0.0000 0.0000 0.0000
Mo 0.0000 0.0000 0.5000
Br 0.0000 0.0000 0.4066

Output
The calculation puts the excess energy over the best structure of this formula in the dataset at 0.710 eV/atom. Its density of states at the Fermi level is 1.179 states/eV per atom. The volume is 77 Å³/f.u. As for the calculated density: 9.39 g/cm³. The calculation puts the uncorrected formation energy at 0.582 eV per atom.

3.
VASP calculation (PBE) on crystalline TaMoBr2 at its relaxed geometry.

a b c (Å): 2.984 5.779 9.175
angles (deg): 90.00 90.00 90.00
Space group Cmmm (No. 65)
Symmetry-distinct sites (fractional):
Ta 0.000 0.000 0.000
Mo 0.000 0.000 0.500
Br 0.000 0.500 0.253

Output
The calculation puts the excess energy over the best structure of this formula in the dataset at 0.973 eV/atom. Its density of states at the Fermi level is 1.137 states/eV per atom. The volume is 79 Å³/f.u. As for the calculated density: 9.16 g/cm³. The calculation puts the uncorrected formation energy at 0.845 eV per atom.

4.
VASP calculation (PBE) on crystalline TaMoBr at its relaxed geometry.

a b c (Å): 6.217 6.217 6.217
angles (deg): 90.00 90.00 90.00
Space group F-43m (No. 216)
Symmetry-distinct sites (fractional):
Ta 0.000 0.000 0.000
Mo 0.250 0.250 0.750
Br 0.000 0.000 0.500

Output
The calculation puts the excess energy over the best structure of this formula in the dataset at 0.644 eV/atom. Its density of states at the Fermi level is 0.784 states/eV per atom. The volume is 60 Å³/f.u. As for the calculated density: 9.86 g/cm³. The calculation puts the uncorrected formation energy at 1.065 eV per atom.